! PBE-GGA Co4PdPt3, relaxed; values from VASP
&SYSTEM
  ibrav = 0, nat = 16, ntyp = 3
/
ATOMIC_SPECIES
Co 58.93 Co.upf
Pd 106.42 Pd.upf
Pt 195.08 Pt.upf
ATOMIC_POSITIONS crystal
Co 0.133 0.000 0.299
Co 0.247 0.500 0.282
Co 0.253 0.000 0.718
Co 0.367 0.500 0.701
Co 0.633 0.500 0.299
Co 0.747 0.000 0.282
Co 0.753 0.500 0.718
Co 0.867 0.000 0.701
Pd 0.000 0.500 0.000
Pd 0.500 0.000 0.000
Pt 0.000 0.000 0.500
Pt 0.135 0.500 0.801
Pt 0.365 0.000 0.199
Pt 0.500 0.500 0.500
Pt 0.635 0.000 0.801
Pt 0.865 0.500 0.199
CELL_PARAMETERS angstrom
17.806 0.000 0.000
0.000 2.700 0.000
-1.182 0.000 4.510
! E_form: -0.038 eV per atom
! DOS at the Fermi energy: 7.37 states/eV/f.u.
! E above lowest polymorph: 0.0 meV per atom